First-principles (GGA+U) data for a geometry-optimized KMoO3 structure, as listed in the Alexandria database.

DFT total energy = -127.33 eV for the cell shown
crystal system = monoclinic
spin magnetization = 0.0 μB per cell
ρ = 3.66 g/cm³

a b c (Å): 7.8057 7.8057 5.4914
angles (deg): 92.08 92.08 83.37
Closest atoms and distances in Å follow each position.
Fractional coordinates of all 20 atoms:
1 K 0.1100 0.3158 0.3134  5 O 2.63-2.86
2 K 0.3158 0.1100 0.8134  5 O 2.63-2.86
3 K 0.6842 0.8900 0.1866  5 O 2.63-2.86
4 K 0.8900 0.6842 0.6866  5 O 2.63-2.86
5 Mo 0.2505 0.7495 0.2500  4 O 1.78-1.97
6 Mo 0.4256 0.5744 0.7500  6 O 2.03-2.14
7 Mo 0.5744 0.4256 0.2500  6 O 2.03-2.14
8 Mo 0.7495 0.2505 0.7500  4 O 1.78-1.97
9 O 0.0361 0.7486 0.1287  1 Mo 1.78
10 O 0.2076 0.6197 0.5383  2 Mo 1.97-2.03
11 O 0.2514 0.9639 0.3713  1 Mo 1.78
12 O 0.3348 0.4845 0.0807  3 Mo 2.07-2.27
13 O 0.3803 0.7924 0.9617  2 Mo 1.97-2.03
14 O 0.4845 0.3348 0.5807  3 Mo 2.07-2.27
15 O 0.5155 0.6652 0.4193  3 Mo 2.07-2.27
16 O 0.6197 0.2076 0.0383  2 Mo 1.97-2.03
17 O 0.6652 0.5155 0.9193  3 Mo 2.07-2.27
18 O 0.7486 0.0361 0.6287  1 Mo 1.78
19 O 0.7924 0.3803 0.4617  2 Mo 1.97-2.03
20 O 0.9639 0.2514 0.8713  1 Mo 1.78